This record from Alexandria via LeMat-Bulk describes a relaxed structure of Sm4InPb. The functional is PBE.

```
data_Sm4InPb
_cell_length_a 5.3203
_cell_length_b 5.3203
_cell_length_c 9.1088
_cell_angle_alpha 107.04
_cell_angle_beta 107.04
_cell_angle_gamma 59.98
_space_group_name_H-M_alt 'P 1'
_space_group_IT_number 1
_space_group_name_Hall 'P 1'
loop_
_atom_site_label
_atom_site_type_symbol
_atom_site_fract_x
_atom_site_fract_y
_atom_site_fract_z
Sm1 Sm 0.1235 0.1235 0.3705
Sm2 Sm 0.3720 0.3720 0.1159
Sm3 Sm 0.6280 0.6280 0.8841
Sm4 Sm 0.8765 0.8765 0.6295
In1 In 0.0000 0.0000 0.0000
Pb1 Pb 0.5000 0.5000 0.5000
```

Calculated values
Energy relative to the elements (eV per atom): -0.18
ρ (g/cm3): 7.30

***

This record from Alexandria via LeMat-Bulk describes a relaxed structure of DySc4Ni5. The functional is PBE.

```
data_DySc4Ni5
_cell_length_a 3.1804
_cell_length_b 3.1804
_cell_length_c 16.3415
_cell_angle_alpha 90.00
_cell_angle_beta 90.00
_cell_angle_gamma 90.00
_space_group_name_H-M_alt 'P 1'
_space_group_IT_number 1
_space_group_name_Hall 'P 1'
loop_
_atom_site_label
_atom_site_type_symbol
_atom_site_fract_x
_atom_site_fract_y
_atom_site_fract_z
Dy1 Dy 0.0000 0.0000 0.0000
Sc1 Sc 0.0000 0.0000 0.2075
Sc2 Sc 0.0000 0.0000 0.4028
Sc3 Sc 0.0000 0.0000 0.5972
Sc4 Sc 0.0000 0.0000 0.7925
Ni1 Ni 0.5000 0.5000 0.1147
Ni2 Ni 0.5000 0.5000 0.3056
Ni3 Ni 0.5000 0.5000 0.5000
Ni4 Ni 0.5000 0.5000 0.6944
Ni5 Ni 0.5000 0.5000 0.8853
```

Calculated values
Energy relative to the elements (eV per atom): -0.47
ρ (g/cm3): 6.39

***

This record from Alexandria via LeMat-Bulk describes a relaxed structure of CePm2Au. The functional is PBE.

```
data_CePm2Au
_cell_length_a 10.4843
_cell_length_b 10.4843
_cell_length_c 10.4843
_cell_angle_alpha 20.40
_cell_angle_beta 20.40
_cell_angle_gamma 20.40
_space_group_name_H-M_alt 'P 1'
_space_group_IT_number 1
_space_group_name_Hall 'P 1'
loop_
_atom_site_label
_atom_site_type_symbol
_atom_site_fract_x
_atom_site_fract_y
_atom_site_fract_z
Ce1 Ce 0.0000 0.0000 0.0000
Pm1 Pm 0.5719 0.5719 0.5719
Pm2 Pm 0.7626 0.7626 0.7626
Au1 Au 0.1670 0.1670 0.1670
```

Calculated values
Energy relative to the elements (eV per atom): -0.18
ρ (g/cm3): 8.49
ΔE to the lowest computed polymorph (meV/atom): 151

***

This record from Alexandria via LeMat-Bulk describes a relaxed structure of Ba2SrCaAs. The functional is PBE.

```
data_Ba2SrCaAs
_cell_length_a 6.4953
_cell_length_b 6.4953
_cell_length_c 6.1318
_cell_angle_alpha 90.00
_cell_angle_beta 90.00
_cell_angle_gamma 90.00
_space_group_name_H-M_alt 'P 1'
_space_group_IT_number 1
_space_group_name_Hall 'P 1'
loop_
_atom_site_label
_atom_site_type_symbol
_atom_site_fract_x
_atom_site_fract_y
_atom_site_fract_z
Ba1 Ba 0.0000 0.5000 0.0000
Ba2 Ba 0.5000 0.0000 0.0000
Sr1 Sr 0.0000 0.0000 0.5000
Ca1 Ca 0.5000 0.5000 0.5000
As1 As 0.0000 0.0000 0.0000
```

Calculated values
Energy relative to the elements (eV per atom): -0.44
ρ (g/cm3): 3.06
ΔE to the lowest computed polymorph (meV/atom): 8

***

This record from Alexandria via LeMat-Bulk describes a relaxed structure of CrSb2W. The functional is PBE.

```
data_CrSb2W
_cell_length_a 5.0755
_cell_length_b 5.0755
_cell_length_c 4.9220
_cell_angle_alpha 106.81
_cell_angle_beta 106.81
_cell_angle_gamma 37.53
_space_group_name_H-M_alt 'P 1'
_space_group_IT_number 1
_space_group_name_Hall 'P 1'
loop_
_atom_site_label
_atom_site_type_symbol
_atom_site_fract_x
_atom_site_fract_y
_atom_site_fract_z
Cr1 Cr 0.0000 0.0000 0.0000
Sb1 Sb 0.5229 0.5229 0.5077
Sb2 Sb 0.7462 0.7462 0.1372
W1 W 0.2718 0.2718 0.6527
```

Calculated values
Uncorrected formation energy (eV/atom): 0.48
ρ (g/cm3): 10.82
ΔE to the lowest computed polymorph (meV/atom): 253

***

This record from Alexandria via LeMat-Bulk describes a relaxed structure of DyHo2Tm. The functional is PBE.

```
data_DyHo2Tm
_cell_length_a 5.5625
_cell_length_b 7.1825
_cell_length_c 7.1825
_cell_angle_alpha 119.90
_cell_angle_beta 90.00
_cell_angle_gamma 90.00
_space_group_name_H-M_alt 'P 1'
_space_group_IT_number 1
_space_group_name_Hall 'P 1'
loop_
_atom_site_label
_atom_site_type_symbol
_atom_site_fract_x
_atom_site_fract_y
_atom_site_fract_z
Dy1 Dy 0.2500 0.1664 0.8336
Dy2 Dy 0.7500 0.8336 0.1664
Ho1 Ho 0.2500 0.6663 0.3341
Ho2 Ho 0.2500 0.6667 0.8332
Ho3 Ho 0.7500 0.3341 0.6663
Ho4 Ho 0.7500 0.8332 0.6667
Tm1 Tm 0.2500 0.1670 0.3336
Tm2 Tm 0.7500 0.3336 0.1670
```

Calculated values
Energy relative to the elements (eV per atom): 0.00
ρ (g/cm3): 8.83
ΔE to the lowest computed polymorph (meV/atom): 0

***

This record from Alexandria via LeMat-Bulk describes a relaxed structure of Be2InBr. The functional is PBE.

```
data_Be2InBr
_cell_length_a 3.9387
_cell_length_b 3.2907
_cell_length_c 6.0194
_cell_angle_alpha 90.00
_cell_angle_beta 90.19
_cell_angle_gamma 90.00
_space_group_name_H-M_alt 'P 1'
_space_group_IT_number 1
_space_group_name_Hall 'P 1'
loop_
_atom_site_label
_atom_site_type_symbol
_atom_site_fract_x
_atom_site_fract_y
_atom_site_fract_z
Be1 Be 0.0058 0.0000 0.1772
Be2 Be 0.9942 0.0000 0.8228
In1 In 0.5000 0.5000 0.0000
Br1 Br 0.0000 0.5000 0.5000
```

Calculated values
Uncorrected formation energy (eV/atom): 0.45
ρ (g/cm3): 4.53
ΔE to the lowest computed polymorph (meV/atom): 197

***

This record from Alexandria via LeMat-Bulk describes a relaxed structure of NpBeRu2. The functional is PBE.

```
data_NpBeRu2
_cell_length_a 4.1197
_cell_length_b 4.1197
_cell_length_c 3.5321
_cell_angle_alpha 90.00
_cell_angle_beta 90.00
_cell_angle_gamma 90.00
_space_group_name_H-M_alt 'P 1'
_space_group_IT_number 1
_space_group_name_Hall 'P 1'
loop_
_atom_site_label
_atom_site_type_symbol
_atom_site_fract_x
_atom_site_fract_y
_atom_site_fract_z
Np1 Np 0.0000 0.0000 0.0000
Be1 Be 0.5000 0.5000 0.0000
Ru1 Ru 0.0000 0.5000 0.5000
Ru2 Ru 0.5000 0.0000 0.5000
```

Calculated values
Energy relative to the elements (eV per atom): -0.12
ρ (g/cm3): 12.41
ΔE to the lowest computed polymorph (meV/atom): 0

***

This record from Alexandria via LeMat-Bulk describes a relaxed structure of TiAl2Cl8. The functional is PBE.

```
data_TiAl2Cl8
_cell_length_a 9.9681
_cell_length_b 9.9681
_cell_length_c 11.8756
_cell_angle_alpha 123.38
_cell_angle_beta 123.38
_cell_angle_gamma 50.42
_space_group_name_H-M_alt 'P 1'
_space_group_IT_number 1
_space_group_name_Hall 'P 1'
loop_
_atom_site_label
_atom_site_type_symbol
_atom_site_fract_x
_atom_site_fract_y
_atom_site_fract_z
Ti1 Ti 0.0082 0.9918 0.7500
Ti2 Ti 0.9918 0.0082 0.2500
Al1 Al 0.1486 0.6804 0.4674
Al2 Al 0.3196 0.8514 0.0326
Al3 Al 0.6804 0.1486 0.9674
Al4 Al 0.8514 0.3196 0.5326
Cl1 Cl 0.1238 0.1630 0.5107
Cl2 Cl 0.1291 0.7087 0.2873
Cl3 Cl 0.1630 0.1238 0.0107
Cl4 Cl 0.1711 0.7171 0.8312
Cl5 Cl 0.2824 0.4007 0.4414
Cl6 Cl 0.2829 0.8289 0.6688
Cl7 Cl 0.2913 0.8709 0.2127
Cl8 Cl 0.4007 0.2824 0.9414
Cl9 Cl 0.5993 0.7176 0.0586
Cl10 Cl 0.7087 0.1291 0.7873
Cl11 Cl 0.7171 0.1711 0.3312
Cl12 Cl 0.7176 0.5993 0.5586
Cl13 Cl 0.8289 0.2829 0.1688
Cl14 Cl 0.8370 0.8762 0.9893
Cl15 Cl 0.8709 0.2913 0.7127
Cl16 Cl 0.8762 0.8370 0.4893
```

Calculated values
Uncorrected formation energy (eV/atom): -1.47
ρ (g/cm3): 1.77
ΔE to the lowest computed polymorph (meV/atom): 1

***

This record from Alexandria via LeMat-Bulk describes a relaxed structure of Li4NdDy. The functional is PBE.

```
data_Li4NdDy
_cell_length_a 5.8964
_cell_length_b 5.8964
_cell_length_c 5.8964
_cell_angle_alpha 60.00
_cell_angle_beta 60.00
_cell_angle_gamma 60.00
_space_group_name_H-M_alt 'P 1'
_space_group_IT_number 1
_space_group_name_Hall 'P 1'
loop_
_atom_site_label
_atom_site_type_symbol
_atom_site_fract_x
_atom_site_fract_y
_atom_site_fract_z
Li1 Li 0.1254 0.1254 0.1254
Li2 Li 0.1254 0.1254 0.6238
Li3 Li 0.1254 0.6238 0.1254
Li4 Li 0.6238 0.1254 0.1254
Nd1 Nd 0.7500 0.7500 0.7500
Dy1 Dy 0.5000 0.5000 0.5000
```

Calculated values
Energy relative to the elements (eV per atom): 0.11
ρ (g/cm3): 3.83

***

This record from Alexandria via LeMat-Bulk describes a relaxed structure of RbAcIn2. The functional is PBE.

```
data_RbAcIn2
_cell_length_a 11.5568
_cell_length_b 11.5568
_cell_length_c 11.5568
_cell_angle_alpha 20.23
_cell_angle_beta 20.23
_cell_angle_gamma 20.23
_space_group_name_H-M_alt 'P 1'
_space_group_IT_number 1
_space_group_name_Hall 'P 1'
loop_
_atom_site_label
_atom_site_type_symbol
_atom_site_fract_x
_atom_site_fract_y
_atom_site_fract_z
Rb1 Rb 0.0000 0.0000 0.0000
Ac1 Ac 0.5000 0.5000 0.5000
In1 In 0.2440 0.2440 0.2440
In2 In 0.7560 0.7560 0.7560
```

Calculated values
Energy relative to the elements (eV per atom): 0.00
ρ (g/cm3): 5.57
ΔE to the lowest computed polymorph (meV/atom): 190

***

This record from Alexandria via LeMat-Bulk describes a relaxed structure of LaBi2Ru. The functional is PBE.

```
data_LaBi2Ru
_cell_length_a 5.2369
_cell_length_b 5.2369
_cell_length_c 5.2369
_cell_angle_alpha 60.00
_cell_angle_beta 60.00
_cell_angle_gamma 60.00
_space_group_name_H-M_alt 'P 1'
_space_group_IT_number 1
_space_group_name_Hall 'P 1'
loop_
_atom_site_label
_atom_site_type_symbol
_atom_site_fract_x
_atom_site_fract_y
_atom_site_fract_z
La1 La 0.0000 0.0000 0.0000
Bi1 Bi 0.2500 0.2500 0.2500
Bi2 Bi 0.7500 0.7500 0.7500
Ru1 Ru 0.5000 0.5000 0.5000
```

Calculated values
Energy relative to the elements (eV per atom): -0.03
ρ (g/cm3): 10.76